No. 1
Material: LiCaPd2
Method: DFT, PBE
State: optimized geometry

DFT total energy = -30.31 eV for the cell shown
Formation energy from the elements = -0.86 eV per formula unit

Lattice parameters (Å, degrees): 9.2720 9.2720 9.2720 153.26 153.26 38.17
Last column: nearest neighbours and their distance in Å.
Element x y z (fractional)
Li 0.0000 0.0000 0.0000  4 Pd 2.57
Li 0.7500 0.2500 0.5000  4 Pd 2.57
Ca 0.2500 0.7500 0.5000  4 Pd 2.77, 4 Li 3.03
Ca 0.5000 0.5000 0.0000  4 Pd 2.77, 4 Li 3.03
Pd 0.0663 0.6250 0.9413  2 Li 2.57, 2 Pd 2.70, 2 Ca 2.77
Pd 0.3750 0.3163 0.4413  2 Li 2.57, 2 Pd 2.70, 2 Ca 2.77
Pd 0.6837 0.1250 0.0587  2 Li 2.57, 2 Pd 2.70, 2 Ca 2.77
Pd 0.8750 0.9337 0.5587  2 Li 2.57, 2 Pd 2.70, 2 Ca 2.77

---

No. 2
Material: Dy4SiHgTe2
Method: DFT, PBE
State: optimized geometry

DFT total energy = -37.99 eV for the cell shown
Formation energy without anion corrections = -0.947 eV per atom

Lattice parameters (Å, degrees): 7.3768 4.2015 7.5995 90.00 107.95 90.00
Last column: nearest neighbours and their distance in Å.
Element x y z (fractional)
Dy 0.2289 0.0000 0.2249  2 Si 2.90, 1 Hg 3.00, 3 Te 3.07-3.19
Dy 0.2415 0.5000 0.7618  1 Si 2.90, 2 Hg 3.03, 3 Te 3.06-3.15
Dy 0.7585 0.5000 0.2382  1 Si 2.90, 2 Hg 3.03, 3 Te 3.06-3.15
Dy 0.7711 0.0000 0.7751  2 Si 2.90, 1 Hg 3.00, 3 Te 3.07-3.19
Si 0.0000 0.5000 0.0000  6 Dy 2.90
Hg 0.5000 0.0000 0.0000  6 Dy 3.00-3.03
Te 0.0000 0.0000 0.5000  6 Dy 3.06-3.07
Te 0.5000 0.5000 0.5000  6 Dy 3.15-3.19

---

No. 3
Material: LiGdLuRu
Method: DFT, PBE
State: optimized geometry

DFT total energy = -30.95 eV for the cell shown
Formation energy from the elements = -1.16 eV per formula unit

Lattice parameters (Å, degrees): 4.8810 4.8810 4.8810 60.00 60.00 60.00
Last column: nearest neighbours and their distance in Å.
Element x y z (fractional)
Li 0.0000 0.0000 0.0000  4 Lu 2.99, 4 Gd 2.99
Gd 0.2500 0.2500 0.2500  4 Li 2.99, 4 Ru 2.99
Lu 0.7500 0.7500 0.7500  4 Li 2.99, 4 Ru 2.99
Ru 0.5000 0.5000 0.5000  4 Gd 2.99, 4 Lu 2.99

---

No. 4
Material: RbZrSc
Method: DFT, PBE
State: optimized geometry

Energy above the most stable polymorph in this dataset = 44 meV/atom
DFT total energy = -29.78 eV for the cell shown
Formation energy from the elements = 0.96 eV per formula unit

Lattice parameters (Å, degrees): 4.3732 4.3732 13.3709 90.19 99.26 90.02
Last column: nearest neighbours and their distance in Å.
Element x y z (fractional)
Rb 0.0000 0.0000 0.0000  4 Sc 4.15-4.16, 4 Rb 4.37
Rb 0.3468 0.5104 0.6919  4 Zr 4.08-4.10, 4 Rb 4.37
Zr 0.2142 0.0032 0.4296  4 Sc 3.06, 4 Zr 3.09
Zr 0.7145 0.5032 0.4303  4 Sc 3.06-3.07, 4 Zr 3.09
Sc 0.1344 0.5014 0.2677  4 Zr 3.06, 4 Sc 3.09
Sc 0.6343 0.0013 0.2676  4 Zr 3.06-3.07, 4 Sc 3.09

---

No. 5
Material: Zn2AgP2
Method: DFT, PBE
State: optimized geometry

Energy above the most stable polymorph in this dataset = 0 meV/atom
DFT total energy = -15.46 eV for the cell shown
Formation energy from the elements = 0.75 eV per formula unit

Lattice parameters (Å, degrees): 5.5017 5.5017 5.5017 133.09 133.09 68.51
Last column: nearest neighbours and their distance in Å.
Element x y z (fractional)
Zn 0.2500 0.7500 0.5000  4 P 2.48
Zn 0.7500 0.2500 0.5000  4 P 2.48
Ag 0.0000 0.0000 0.0000  8 Zn 3.16, 10 P 3.29-3.44
P 0.3784 0.3784 0.0000  1 P 2.21
P 0.6216 0.6216 0.0000  1 P 2.21

---

No. 6
Material: Ir4OsBr
Method: DFT, PBE
State: optimized geometry

DFT total energy = -40.67 eV for the cell shown
Formation energy without anion corrections = 1.279 eV per atom

Lattice parameters (Å, degrees): 5.2087 5.2087 5.2087 60.00 60.00 60.00
Last column: nearest neighbours and their distance in Å.
Element x y z (fractional)
Ir 0.1246 0.1246 0.1246  6 Ir 2.60-2.61
Ir 0.1246 0.1246 0.6261  6 Ir 2.60-2.61
Ir 0.1246 0.6261 0.1246  6 Ir 2.60-2.61
Ir 0.6261 0.1246 0.1246  6 Ir 2.60-2.61
Os 0.7500 0.7500 0.7500  12 Ir 3.05, 4 Br 3.19
Br 0.5000 0.5000 0.5000  12 Ir 3.05, 4 Os 3.19

---

No. 7
Material: CsGa11
Method: DFT, PBE
State: optimized geometry

DFT total energy = -68.56 eV for the cell shown
Formation energy from the elements = -0.13 eV per formula unit

Lattice parameters (Å, degrees): 9.1340 9.1340 9.1340 99.74 99.74 131.44
Last column: nearest neighbours and their distance in Å.
Element x y z (fractional)
Cs 0.3750 0.6250 0.7500  18 Ga 3.63-3.80
Cs 0.6250 0.3750 0.2500  18 Ga 3.63-3.80
Ga 0.0000 0.0000 0.0000  10 Ga 2.87-3.09
Ga 0.0000 0.0000 0.5000  10 Ga 2.87-3.09
Ga 0.0000 0.5000 0.0000  10 Ga 2.87-3.09
Ga 0.1250 0.8750 0.2500  12 Ga 3.09-3.19
Ga 0.1341 0.5542 0.3298  9 Ga 2.87-3.19
Ga 0.1341 0.8042 0.5798  9 Ga 2.87-3.19
Ga 0.1958 0.2756 0.3298  9 Ga 2.87-3.19
Ga 0.1958 0.8659 0.9202  9 Ga 2.87-3.19
Ga 0.2756 0.1958 0.8298  9 Ga 2.87-3.19
Ga 0.2756 0.4458 0.0798  9 Ga 2.87-3.19
Ga 0.4458 0.2756 0.5798  9 Ga 2.87-3.19
Ga 0.4458 0.8659 0.1702  9 Ga 2.87-3.19
Ga 0.5000 0.0000 0.5000  10 Ga 2.87-3.09
Ga 0.5542 0.1341 0.8298  9 Ga 2.87-3.19
Ga 0.5542 0.7244 0.4202  9 Ga 2.87-3.19
Ga 0.7244 0.5542 0.9202  9 Ga 2.87-3.19
Ga 0.7244 0.8042 0.1702  9 Ga 2.87-3.19
Ga 0.8042 0.1341 0.0798  9 Ga 2.87-3.19
Ga 0.8042 0.7244 0.6702  9 Ga 2.87-3.19
Ga 0.8659 0.1958 0.4202  9 Ga 2.87-3.19
Ga 0.8659 0.4458 0.6702  9 Ga 2.87-3.19
Ga 0.8750 0.1250 0.7500  12 Ga 3.09-3.19

---

No. 8
Material: BaAgS
Method: DFT, PBE
State: optimized geometry

DFT total energy = -23.67 eV for the cell shown
Formation energy without anion corrections = -0.977 eV per atom

Lattice parameters (Å, degrees): 9.2978 9.2978 9.2978 32.43 32.43 32.43
Last column: nearest neighbours and their distance in Å.
Element x y z (fractional)
Ba 0.1003 0.1003 0.1003  4 S 3.02-3.14
Ba 0.8997 0.8997 0.8997  4 S 3.02-3.14
Ag 0.3176 0.3176 0.3176  1 S 2.60
Ag 0.6824 0.6824 0.6824  1 S 2.60
S 0.2192 0.2192 0.2192  1 Ag 2.60
S 0.7808 0.7808 0.7808  1 Ag 2.60